# PBE+U Al2WO2, optimized geometry
data_Al2WO2
_space_group_name_H-M_alt 'I 4/m m m'
_space_group_IT_number 139
_space_group_name_Hall '-I 4 2'
_cell_length_a 3.3385
_cell_length_b 3.3385
_cell_length_c 12.3264
_cell_angle_alpha 90.00
_cell_angle_beta 90.00
_cell_angle_gamma 90.00
loop_
_atom_site_label
_atom_site_fract_x
_atom_site_fract_y
_atom_site_fract_z
_atom_site_occupancy
Al1 0.0000 0.0000 0.1775 1
W1 0.0000 0.0000 0.5000 1
O1 0.0000 0.5000 0.2500 1
# E above lowest polymorph	0.0000	eV per atom
# M_tot	2.17	μB per formula unit